Record 1
DFT (GGA-PBE) results for an optimized crystal structure of AlN.

Structure (POSCAR):
```
AlN
1.0
3.112 0.000 0.000
1.556 2.695 0.000
1.556 0.898 2.541
Al N
1 1
direct
0.000 0.000 0.000
0.750 0.750 0.750
```

Energy relative to the elements, uncorrected, eV/atom: -1.3893
N(E_F), states/eV per atom: 0.000

***

Record 2
DFT (GGA-PBE) results for an optimized crystal structure of AcPm6Hg2.

Structure (POSCAR):
```
AcPm6Hg2
1.0
-4.496 -2.395 -0.883
2.457 -3.575 -2.813
1.531 -6.333 9.384
Ac Pm Hg
1 6 2
direct
0.000 0.000 0.000
0.000 0.500 0.275
0.500 0.000 0.275
0.000 0.500 0.725
0.500 0.000 0.725
0.500 0.500 0.500
0.000 0.000 0.500
0.500 0.500 0.121
0.500 0.500 0.879
```

Distance to the lowest polymorph of the same formula, meV/atom: 74
N(E_F), states/eV per atom: 1.313
Formation energy, eV per atom: -0.126

***

Record 3
DFT (GGA-PBE) results for an optimized crystal structure of MgPW2.

Structure (POSCAR):
```
MgPW2
1.0
-0.672 3.510 1.181
-3.527 -0.972 0.881
0.726 -1.113 9.719
P Mg W
2 2 4
direct
0.000 0.000 0.000
0.750 0.250 0.500
0.500 0.500 0.000
0.250 0.750 0.500
0.628 0.125 0.250
0.122 0.625 0.250
0.375 0.372 0.750
0.875 0.878 0.750
```

Distance to the lowest polymorph of the same formula, meV/atom: 416
N(E_F), states/eV per atom: 0.403
Formation energy, eV per atom: 0.511

***

Record 4
DFT (GGA-PBE) results for an optimized crystal structure of Er5MgZn4.

Structure (POSCAR):
```
Er5MgZn4
1.0
3.539 0.000 0.000
0.000 3.539 0.000
0.000 0.000 18.426
Er Mg Zn
5 1 4
direct
0.500 0.500 0.119
0.500 0.500 0.309
0.500 0.500 0.500
0.500 0.500 0.691
0.500 0.500 0.881
0.000 0.000 0.000
0.000 0.000 0.211
0.000 0.000 0.404
0.000 0.000 0.596
0.000 0.000 0.789
```

N(E_F), states/eV per atom: 1.011
Formation energy, eV per atom: -0.293

***

Record 5
DFT (GGA-PBE) results for an optimized crystal structure of AsWSeBr2.

Structure (POSCAR):
```
AsWSeBr2
1.0
5.105 0.000 0.000
0.000 5.105 0.000
0.000 0.000 5.372
As Se Br W
1 1 2 1
direct
0.000 0.000 0.500
0.000 0.000 0.000
0.000 0.500 0.000
0.500 0.000 0.000
0.500 0.500 0.500
```

Distance to the lowest polymorph of the same formula, meV/atom: 898
Energy relative to the elements, uncorrected, eV/atom: 1.5213
N(E_F), states/eV per atom: 1.153

***

Record 6
DFT (GGA-PBE) results for an optimized crystal structure of CsGePb.

Structure (POSCAR):
```
CsGePb
1.0
-3.971 -4.637 -2.109
1.746 0.444 -4.264
1.903 -2.986 2.981
Pb Cs Ge
1 1 1
direct
0.231 0.333 0.667
0.683 0.667 0.333
0.086 0.000 0.000
```

Distance to the lowest polymorph of the same formula, meV/atom: 5
N(E_F), states/eV per atom: 0.438
Formation energy, eV per atom: -0.050

***

Record 7
DFT (GGA-PBE) results for an optimized crystal structure of Cs2AgF.

Structure (POSCAR):
```
Cs2AgF
1.0
0.000 4.213 4.213
4.213 0.000 4.213
4.213 4.213 0.000
Cs Ag F
2 1 1
direct
0.250 0.250 0.250
0.750 0.750 0.750
0.500 0.500 0.500
0.000 0.000 0.000
```

Distance to the lowest polymorph of the same formula, meV/atom: 189
Energy relative to the elements, uncorrected, eV/atom: -1.0573
N(E_F), states/eV per atom: 0.000

***

Record 8
DFT (GGA-PBE) results for an optimized crystal structure of Sr2Hg.

Structure (POSCAR):
```
Sr2Hg
1.0
-1.097 6.194 2.583
-3.781 -1.384 -5.480
-1.644 -4.526 4.801
Hg Sr
2 4
direct
0.250 0.250 0.000
0.750 0.750 0.000
0.322 0.822 0.144
0.678 0.178 0.856
0.178 0.322 0.500
0.822 0.678 0.500
```

N(E_F), states/eV per atom: 0.917
Formation energy, eV per atom: -0.364

***

Record 9
DFT (GGA-PBE) results for an optimized crystal structure of SmTm2Zn2.

Structure (POSCAR):
```
SmTm2Zn2
1.0
3.553 0.000 -0.476
0.000 5.164 0.000
-0.029 0.000 13.275
Sm Tm Zn
2 4 4
direct
0.855 0.750 0.713
0.145 0.250 0.287
0.046 0.750 0.093
0.954 0.250 0.907
0.233 0.750 0.465
0.767 0.250 0.535
0.640 0.750 0.280
0.360 0.250 0.720
0.454 0.750 0.907
0.546 0.250 0.093
```

Distance to the lowest polymorph of the same formula, meV/atom: 0
N(E_F), states/eV per atom: 0.955
Formation energy, eV per atom: -0.262

***

Record 10
DFT (GGA-PBE) results for an optimized crystal structure of MnFeNi2.

Structure (POSCAR):
```
MnFeNi2
1.0
4.046 0.000 0.000
2.023 3.504 0.000
2.023 1.168 3.304
Fe Mn Ni
1 1 2
direct
0.500 0.500 0.500
0.750 0.750 0.750
0.000 0.000 0.000
0.250 0.250 0.250
```

N(E_F), states/eV per atom: 0.889
Formation energy, eV per atom: 0.077

***

Record 11
DFT (GGA-PBE) results for an optimized crystal structure of TbScPd3.

Structure (POSCAR):
```
TbScPd3
1.0
-2.590 -2.776 -4.092
-5.415 -4.633 6.571
-4.641 5.370 -0.706
Tb Sc Pd
4 4 12
direct
0.866 0.621 0.195
0.134 0.379 0.805
0.366 0.379 0.305
0.634 0.621 0.695
0.357 0.936 0.676
0.643 0.064 0.324
0.857 0.064 0.824
0.143 0.936 0.176
0.106 0.132 0.490
0.894 0.868 0.510
0.606 0.868 0.010
0.394 0.132 0.990
0.450 0.778 0.365
0.550 0.222 0.635
0.950 0.222 0.135
0.050 0.778 0.865
0.149 0.610 0.546
0.851 0.390 0.454
0.649 0.390 0.954
0.351 0.610 0.046
```

N(E_F), states/eV per atom: 0.485
Formation energy, eV per atom: -0.852

***

Record 12
DFT (GGA-PBE) results for an optimized crystal structure of Ag4HgPd2.

Structure (POSCAR):
```
Ag4HgPd2
1.0
-3.950 -5.602 -2.241
1.959 -2.946 3.913
-3.072 4.738 5.106
Ag Hg Pd
8 2 4
direct
0.610 0.499 0.227
0.044 0.750 0.804
0.956 0.250 0.196
0.610 0.001 0.227
0.987 0.250 0.572
0.390 0.999 0.773
0.390 0.501 0.773
0.013 0.750 0.428
0.243 0.750 0.219
0.757 0.250 0.781
0.793 0.750 0.003
0.207 0.250 0.997
0.393 0.250 0.420
0.607 0.750 0.580
```

Distance to the lowest polymorph of the same formula, meV/atom: 0
N(E_F), states/eV per atom: 0.325
Formation energy, eV per atom: 0.032

***

Record 13
DFT (GGA-PBE) results for an optimized crystal structure of AsIF.

Structure (POSCAR):
```
AsIF
1.0
4.714 0.000 0.198
0.000 5.530 0.000
-1.214 0.000 7.465
F I As
2 2 2
direct
0.187 0.250 0.606
0.813 0.750 0.394
0.240 0.250 0.165
0.760 0.750 0.835
0.496 0.250 0.485
0.504 0.750 0.515
```

Distance to the lowest polymorph of the same formula, meV/atom: 32
Energy relative to the elements, uncorrected, eV/atom: -0.8986
N(E_F), states/eV per atom: 0.344

***

Record 14
DFT (GGA-PBE) results for an optimized crystal structure of KCu2Hg2.

Structure (POSCAR):
```
KCu2Hg2
1.0
4.841 0.000 0.000
0.000 4.841 0.000
2.420 2.420 5.096
K Hg Cu
1 2 2
direct
0.000 0.000 0.000
0.750 0.250 0.500
0.250 0.750 0.500
0.381 0.381 0.237
0.619 0.619 0.763
```

Distance to the lowest polymorph of the same formula, meV/atom: 0
N(E_F), states/eV per atom: 0.336
Formation energy, eV per atom: 0.090

***

Record 15
DFT (GGA-PBE) results for an optimized crystal structure of In3PtRh.

Structure (POSCAR):
```
In3PtRh
1.0
-1.431 -4.170 -2.411
3.137 1.102 -3.768
3.655 -2.578 2.289
Rh Pt In
1 1 3
direct
0.000 0.000 0.000
0.500 0.500 0.500
0.000 0.500 0.000
0.000 0.000 0.500
0.500 0.000 0.000
```

Distance to the lowest polymorph of the same formula, meV/atom: 0
N(E_F), states/eV per atom: 0.467
Formation energy, eV per atom: 0.197

***

Record 16
DFT (GGA-PBE) results for an optimized crystal structure of PrAuSe2.

Structure (POSCAR):
```
PrAuSe2
1.0
-1.504 -0.831 -4.202
2.741 -1.952 -3.047
-2.062 -7.955 -0.141
Pr Au Se
1 1 2
direct
0.500 0.500 0.500
0.000 0.000 0.000
0.104 0.104 0.689
0.896 0.896 0.311
```

Distance to the lowest polymorph of the same formula, meV/atom: 81
Energy relative to the elements, uncorrected, eV/atom: -1.1130
N(E_F), states/eV per atom: 0.000

***

Record 17
DFT (GGA-PBE) results for an optimized crystal structure of Tm2ZrTaN4.

Structure (POSCAR):
```
Tm2ZrTaN4
1.0
3.259 0.000 0.000
0.000 5.651 0.100
0.000 -1.975 5.364
Tm Zr Ta N
2 1 1 4
direct
0.500 0.000 0.500
0.000 0.500 0.500
0.500 0.500 0.000
0.000 0.000 0.000
0.500 0.237 0.233
0.500 0.763 0.767
0.000 0.248 0.763
0.000 0.752 0.237
```

Energy relative to the elements, uncorrected, eV/atom: -1.6100
N(E_F), states/eV per atom: 0.196

***

Record 18
DFT (GGA-PBE) results for an optimized crystal structure of SrYTc2.

Structure (POSCAR):
```
SrYTc2
1.0
3.626 0.000 0.000
0.000 4.078 0.063
0.000 3.969 7.028
Sr Tc Y
1 2 1
direct
0.500 0.750 0.750
0.000 0.913 0.087
0.000 0.587 0.413
0.500 0.250 0.250
```

Distance to the lowest polymorph of the same formula, meV/atom: 201
N(E_F), states/eV per atom: 0.431
Formation energy, eV per atom: 0.461

***

Record 19
DFT (GGA-PBE) results for an optimized crystal structure of Cs2YZrIr.

Structure (POSCAR):
```
Cs2YZrIr
1.0
-5.165 -2.336 -4.116
-1.228 -3.187 3.350
-4.377 4.673 2.841
Cs Y Ir Zr
2 1 1 1
direct
0.000 0.000 0.500
0.500 0.000 0.000
0.500 0.500 0.500
0.000 0.500 0.000
0.000 0.000 0.000
```

N(E_F), states/eV per atom: 1.589
Formation energy, eV per atom: 1.260

***

Record 20
DFT (GGA-PBE) results for an optimized crystal structure of HoGa2Pb.

Structure (POSCAR):
```
HoGa2Pb
1.0
-1.634 3.264 3.627
-3.891 -1.330 3.094
0.891 -1.014 4.964
Pb Ho Ga
1 1 2
direct
0.000 0.000 0.000
0.500 0.500 0.500
0.250 0.250 0.250
0.750 0.750 0.750
```

Distance to the lowest polymorph of the same formula, meV/atom: 180
N(E_F), states/eV per atom: 0.205
Formation energy, eV per atom: -0.180

***

Record 21
DFT (GGA-PBE) results for an optimized crystal structure of ZrSc2Fe.

Structure (POSCAR):
```
ZrSc2Fe
1.0
-2.181 3.587 2.268
-1.046 4.021 -2.346
-4.541 1.056 -1.018
Sc Fe Zr
2 1 1
direct
0.250 0.250 0.250
0.750 0.750 0.750
0.000 0.000 0.000
0.500 0.500 0.500
```

Distance to the lowest polymorph of the same formula, meV/atom: 415
N(E_F), states/eV per atom: 2.065
Formation energy, eV per atom: 0.307

***

Record 22
DFT (GGA-PBE) results for an optimized crystal structure of V2HAu.

Structure (POSCAR):
```
V2HAu
1.0
-4.713 1.403 1.762
-0.806 -4.866 1.719
-1.271 -0.827 5.001
H Au V
2 2 4
direct
0.500 0.500 0.000
0.250 0.750 0.500
0.000 0.000 0.000
0.750 0.250 0.500
0.375 0.125 0.250
0.375 0.625 0.250
0.375 0.625 0.750
0.875 0.625 0.750
```

Distance to the lowest polymorph of the same formula, meV/atom: 179
N(E_F), states/eV per atom: 0.828

***

Record 23
DFT (GGA-PBE) results for an optimized crystal structure of Ac3AlGe6Pt2.

Structure (POSCAR):
```
Ac3AlGe6Pt2
1.0
6.307 0.000 0.000
-3.154 5.462 0.000
0.000 0.000 8.402
Ac Al Ge Pt
3 1 6 2
direct
0.333 0.667 0.662
0.667 0.333 0.338
0.000 0.000 0.000
0.000 0.000 0.500
0.611 0.806 0.296
0.194 0.389 0.296
0.194 0.806 0.296
0.806 0.611 0.704
0.389 0.194 0.704
0.806 0.194 0.704
0.667 0.333 0.958
0.333 0.667 0.042
```

N(E_F), states/eV per atom: 0.435
Formation energy, eV per atom: -0.385

***

Record 24
DFT (GGA-PBE) results for an optimized crystal structure of Tl4HgPb.

Structure (POSCAR):
```
Tl4HgPb
1.0
3.301 -2.527 4.969
-3.049 -1.379 5.547
-0.958 -6.171 1.721
Tl Hg Pb
4 1 1
direct
0.375 0.876 0.375
0.876 0.375 0.375
0.375 0.375 0.876
0.375 0.375 0.375
0.750 0.750 0.750
0.000 0.000 0.000
```

Distance to the lowest polymorph of the same formula, meV/atom: 102
N(E_F), states/eV per atom: 0.585
Formation energy, eV per atom: 0.116

***

Record 25
DFT (GGA-PBE) results for an optimized crystal structure of NaZrRu2.

Structure (POSCAR):
```
NaZrRu2
1.0
0.000 3.231 3.231
3.231 0.000 3.231
3.231 3.231 0.000
Ru Zr Na
2 1 1
direct
0.250 0.250 0.250
0.750 0.750 0.750
0.500 0.500 0.500
0.000 0.000 0.000
```

Distance to the lowest polymorph of the same formula, meV/atom: 0
N(E_F), states/eV per atom: 1.225
Formation energy, eV per atom: 0.317

***

Record 26
DFT (GGA-PBE) results for an optimized crystal structure of Tb2NdRh.

Structure (POSCAR):
```
Tb2NdRh
1.0
3.893 0.000 0.000
1.946 3.371 0.000
1.946 1.124 9.183
Tb Nd Rh
2 1 1
direct
0.057 0.057 0.828
0.275 0.275 0.175
0.501 0.501 0.496
0.666 0.666 0.002
```

Distance to the lowest polymorph of the same formula, meV/atom: 135
N(E_F), states/eV per atom: 1.275
Formation energy, eV per atom: -0.352